# CrGa2Te, optimized geometry, DFT PBE
# Energy relative to the elements, uncorrected, eV per formula unit: 0.90
# DOS at the Fermi energy, states/eV per atom: 0.49
data_CrGa2Te
_cell_length_a 7.857
_cell_length_b 7.857
_cell_length_c 5.683
_cell_angle_alpha 90.00
_cell_angle_beta 90.00
_cell_angle_gamma 90.00
_space_group_name_H-M_alt 'I -4 2 d'
_space_group_IT_number 122
_space_group_name_Hall 'I -4 2bw'
loop_
_atom_site_label
_atom_site_type_symbol
_atom_site_fract_x
_atom_site_fract_y
_atom_site_fract_z
Cr1 Cr 0.000 0.000 0.000
Ga1 Ga 0.235 0.750 0.125
Te1 Te 0.000 0.000 0.500


# Ca2AcLu, optimized geometry, DFT PBE
# ΔE_f, meV per atom: 166
# Energy relative to the lowest polymorph listed for this composition, eV per atom: 0.019
# DOS at the Fermi energy, states/eV per atom: 2.06
data_Ca2AcLu
_cell_length_a 5.208
_cell_length_b 5.208
_cell_length_c 5.728
_cell_angle_alpha 90.00
_cell_angle_beta 90.00
_cell_angle_gamma 90.00
_space_group_name_H-M_alt 'P 4/m m m'
_space_group_IT_number 123
_space_group_name_Hall '-P 4 2'
loop_
_atom_site_label
_atom_site_type_symbol
_atom_site_fract_x
_atom_site_fract_y
_atom_site_fract_z
Ca1 Ca 0.000 0.500 0.000
Ac1 Ac 0.000 0.000 0.500
Lu1 Lu 0.500 0.500 0.500


# Pm2InPd3Au12, optimized geometry, DFT PBE
# ΔE_f, meV per atom: -263
# DOS at the Fermi energy, states/eV per atom: 0.34
data_Pm2InPd3Au12
_cell_length_a 9.4576
_cell_length_b 9.4576
_cell_length_c 13.9894
_cell_angle_alpha 90.00
_cell_angle_beta 90.00
_cell_angle_gamma 120.00
_space_group_name_H-M_alt 'R -3 m'
_space_group_IT_number 166
_space_group_name_Hall '-R 3 2"'
loop_
_atom_site_label
_atom_site_type_symbol
_atom_site_fract_x
_atom_site_fract_y
_atom_site_fract_z
Pm1 Pm 0.0000 0.0000 0.2344
In1 In 0.0000 0.0000 0.5000
Pd1 Pd 0.0000 0.5000 0.0000
Au1 Au 0.0038 0.5019 0.2028
Au2 Au 0.0310 0.5155 0.6007


# ThCd2P2Pt7, optimized geometry, DFT PBE
# ΔE_f, meV per atom: -592
# DOS at the Fermi energy, states/eV per atom: 0.40
data_ThCd2P2Pt7
_cell_length_a 5.720
_cell_length_b 5.719
_cell_length_c 14.164
_cell_angle_alpha 90.00
_cell_angle_beta 98.07
_cell_angle_gamma 90.00
_space_group_name_H-M_alt 'C 1 2/m 1'
_space_group_IT_number 12
loop_
_space_group_symop_operation_xyz
'x,y,z'
'-x,-y,-z'
'-x,y,-z'
'x,-y,z'
'x+1/2,y+1/2,z'
'-x+1/2,-y+1/2,-z'
'-x+1/2,y+1/2,-z'
'x+1/2,-y+1/2,z'
loop_
_atom_site_label
_atom_site_type_symbol
_atom_site_fract_x
_atom_site_fract_y
_atom_site_fract_z
Th1 Th 0.000 0.000 0.000
Cd1 Cd 0.095 0.000 0.406
P1 P 0.084 0.500 0.257
Pt1 Pt 0.000 0.500 0.000
Pt2 Pt 0.095 0.500 0.417
Pt3 Pt 0.196 0.249 0.835


# KLi2ZnHg, optimized geometry, DFT PBE
# ΔE_f, meV per atom: -12
# Energy relative to the lowest polymorph listed for this composition, eV per atom: 0.000
# DOS at the Fermi energy, states/eV per atom: 0.56
data_KLi2ZnHg
_cell_length_a 5.328
_cell_length_b 5.328
_cell_length_c 5.060
_cell_angle_alpha 90.00
_cell_angle_beta 90.00
_cell_angle_gamma 90.00
_space_group_name_H-M_alt 'P 4/m m m'
_space_group_IT_number 123
_space_group_name_Hall '-P 4 2'
loop_
_atom_site_label
_atom_site_type_symbol
_atom_site_fract_x
_atom_site_fract_y
_atom_site_fract_z
K1 K 0.000 0.000 0.000
Li1 Li 0.000 0.500 0.500
Zn1 Zn 0.500 0.500 0.000
Hg1 Hg 0.500 0.500 0.500


# Ce2FeNi3Ge4, optimized geometry, DFT PBE
# ΔE_f, meV per atom: -628
# DOS at the Fermi energy, states/eV per atom: 1.05
data_Ce2FeNi3Ge4
_cell_length_a 4.153
_cell_length_b 4.153
_cell_length_c 9.614
_cell_angle_alpha 90.00
_cell_angle_beta 90.00
_cell_angle_gamma 90.00
_space_group_name_H-M_alt 'P -4 m 2'
_space_group_IT_number 115
loop_
_space_group_symop_operation_xyz
'x,y,z'
'y,-x,-z'
'-x,-y,z'
'-y,x,-z'
'-x,y,z'
'-y,-x,-z'
'x,-y,z'
'y,x,-z'
loop_
_atom_site_label
_atom_site_type_symbol
_atom_site_fract_x
_atom_site_fract_y
_atom_site_fract_z
Ce1 Ce 0.000 0.500 0.246
Fe1 Fe 0.500 0.500 0.000
Ni1 Ni 0.000 0.000 0.000
Ni2 Ni 0.000 0.500 0.625
Ge1 Ge 0.000 0.000 0.500
Ge2 Ge 0.000 0.500 0.871
Ge3 Ge 0.500 0.500 0.500


# Tl2SnAu, optimized geometry, DFT PBE
# ΔE_f, meV per atom: 85
# Energy relative to the lowest polymorph listed for this composition, eV per atom: 0.127
# DOS at the Fermi energy, states/eV per atom: 0.47
data_Tl2SnAu
_cell_length_a 4.341
_cell_length_b 4.341
_cell_length_c 23.230
_cell_angle_alpha 90.00
_cell_angle_beta 90.00
_cell_angle_gamma 90.00
_space_group_name_H-M_alt 'I -4 2 d'
_space_group_IT_number 122
_space_group_name_Hall 'I -4 2bw'
loop_
_atom_site_label
_atom_site_type_symbol
_atom_site_fract_x
_atom_site_fract_y
_atom_site_fract_z
Tl1 Tl 0.245 0.250 0.125
Sn1 Sn 0.000 0.000 0.500
Au1 Au 0.000 0.000 0.000


# ScTaZn2, optimized geometry, DFT PBE
# ΔE_f, meV per atom: 66
# Energy relative to the lowest polymorph listed for this composition, eV per atom: 0.189
# DOS at the Fermi energy, states/eV per atom: 1.20
data_ScTaZn2
_cell_length_a 3.941
_cell_length_b 3.941
_cell_length_c 8.930
_cell_angle_alpha 90.00
_cell_angle_beta 90.00
_cell_angle_gamma 90.00
_space_group_name_H-M_alt 'I -4 m 2'
_space_group_IT_number 119
_space_group_name_Hall 'I -4 -2'
loop_
_atom_site_label
_atom_site_type_symbol
_atom_site_fract_x
_atom_site_fract_y
_atom_site_fract_z
Sc1 Sc 0.000 0.000 0.000
Ta1 Ta 0.000 0.500 0.750
Zn1 Zn 0.000 0.000 0.500
Zn2 Zn 0.000 0.500 0.250


# Ta2NbInSe, optimized geometry, DFT PBE
# Energy relative to the elements, uncorrected, eV per formula unit: 3.66
# DOS at the Fermi energy, states/eV per atom: 0.88
data_Ta2NbInSe
_cell_length_a 4.753
_cell_length_b 4.753
_cell_length_c 4.770
_cell_angle_alpha 90.00
_cell_angle_beta 90.00
_cell_angle_gamma 90.00
_space_group_name_H-M_alt 'P 4/m m m'
_space_group_IT_number 123
_space_group_name_Hall '-P 4 2'
loop_
_atom_site_label
_atom_site_type_symbol
_atom_site_fract_x
_atom_site_fract_y
_atom_site_fract_z
Ta1 Ta 0.000 0.500 0.000
Nb1 Nb 0.000 0.000 0.500
In1 In 0.500 0.500 0.500
Se1 Se 0.000 0.000 0.000


# Cr3Ru4, optimized geometry, DFT PBE
# ΔE_f, meV per atom: 157
# DOS at the Fermi energy, states/eV per atom: 1.49
data_Cr3Ru4
_cell_length_a 2.751
_cell_length_b 2.751
_cell_length_c 24.206
_cell_angle_alpha 90.00
_cell_angle_beta 90.00
_cell_angle_gamma 90.00
_space_group_name_H-M_alt 'I 4/m m m'
_space_group_IT_number 139
_space_group_name_Hall '-I 4 2'
loop_
_atom_site_label
_atom_site_type_symbol
_atom_site_fract_x
_atom_site_fract_y
_atom_site_fract_z
Cr1 Cr 0.000 0.000 0.000
Cr2 Cr 0.000 0.000 0.279
Ru1 Ru 0.000 0.000 0.153
Ru2 Ru 0.000 0.000 0.430


# Ba6PtI3N2, optimized geometry, DFT PBE
# Energy relative to the elements, uncorrected, eV per formula unit: -12.20
# DOS at the Fermi energy, states/eV per atom: 0.50
data_Ba6PtI3N2
_cell_length_a 7.558
_cell_length_b 13.273
_cell_length_c 8.775
_cell_angle_alpha 90.00
_cell_angle_beta 106.63
_cell_angle_gamma 90.00
_space_group_name_H-M_alt 'C 1 2/m 1'
_space_group_IT_number 12
loop_
_space_group_symop_operation_xyz
'x,y,z'
'-x,-y,-z'
'-x,y,-z'
'x,-y,z'
'x+1/2,y+1/2,z'
'-x+1/2,-y+1/2,-z'
'-x+1/2,y+1/2,-z'
'x+1/2,-y+1/2,z'
loop_
_atom_site_label
_atom_site_type_symbol
_atom_site_fract_x
_atom_site_fract_y
_atom_site_fract_z
Ba1 Ba 0.202 0.000 0.179
Ba2 Ba 0.250 0.181 0.817
Pt1 Pt 0.000 0.500 0.000
I1 I 0.000 0.000 0.500
I2 I 0.000 0.340 0.500
N1 N 0.000 0.167 0.000


# NbFeI6, optimized geometry, DFT PBE
# Energy relative to the elements, uncorrected, eV per formula unit: -1.54
# DOS at the Fermi energy, states/eV per atom: 0.97
data_NbFeI6
_cell_length_a 14.935
_cell_length_b 10.545
_cell_length_c 10.617
_cell_angle_alpha 90.00
_cell_angle_beta 134.63
_cell_angle_gamma 90.00
_space_group_name_H-M_alt 'C 1 2/m 1'
_space_group_IT_number 12
loop_
_space_group_symop_operation_xyz
'x,y,z'
'-x,-y,-z'
'-x,y,-z'
'x,-y,z'
'x+1/2,y+1/2,z'
'-x+1/2,-y+1/2,-z'
'-x+1/2,y+1/2,-z'
'x+1/2,-y+1/2,z'
loop_
_atom_site_label
_atom_site_type_symbol
_atom_site_fract_x
_atom_site_fract_y
_atom_site_fract_z
Nb1 Nb 0.250 0.250 0.000
Fe1 Fe 0.250 0.250 0.500
I1 I 0.003 0.191 0.686
I2 I 0.174 0.500 0.989
I3 I 0.188 0.500 0.383
I4 I 0.193 0.180 0.191